1.
First-principles (GGA-PBE) data for TaFe2C after structural relaxation, as listed in OQMD via LeMat-Bulk.

Electronic total energy ... -9.531 eV per atom
Density ... 11.73 g/cm3
Space group ... Pnma
Magnetic moment ... 2.653 μB/f.u.

Lattice parameters (Å, degrees): 5.413 7.020 4.541 90.00 90.00 90.00
Site moments in Bohr magnetons follow the coordinates.
Fractional coordinates of all 16 atoms:
C1 0.891 0.250 0.112  -0.01
C2 0.391 0.250 0.388  -0.01
C3 0.609 0.750 0.612  -0.01
C4 0.109 0.750 0.888  -0.01
Fe1 0.174 0.067 0.151  1.42
Fe2 0.174 0.433 0.151  1.43
Fe3 0.674 0.067 0.349  1.41
Fe4 0.674 0.433 0.349  1.40
Fe5 0.326 0.567 0.651  1.40
Fe6 0.326 0.933 0.651  1.41
Fe7 0.826 0.567 0.849  1.43
Fe8 0.826 0.933 0.849  1.42
Ta1 0.471 0.750 0.132  -0.14
Ta2 0.971 0.750 0.368  -0.13
Ta3 0.029 0.250 0.632  -0.13
Ta4 0.529 0.250 0.868  -0.14



2.
First-principles (GGA-PBE) data for Ta4TlFeC2 after structural relaxation, as listed in OQMD via LeMat-Bulk.

Electronic total energy ... -9.799 eV per atom
Density ... 14.26 g/cm3
Space group ... P-6m2
Magnetic moment ... 0.963 μB/f.u.

Lattice parameters (Å, degrees): 3.120 3.120 13.929 90.00 90.00 120.00
Site moments in Bohr magnetons follow the coordinates.
Fractional coordinates of all 8 atoms:
C1 0.333 0.667 0.231  0.00
C2 0.333 0.667 0.769  0.00
Fe1 0.000 0.000 0.000  1.31
Ta1 0.667 0.333 0.140  -0.10
Ta2 0.000 0.000 0.321  -0.02
Ta3 0.000 0.000 0.679  -0.02
Ta4 0.667 0.333 0.860  -0.09
Tl1 0.667 0.333 0.500  0.00



3.
First-principles (GGA-PBE) data for Ta2Fe3W4C3 after structural relaxation, as listed in OQMD via LeMat-Bulk.

Electronic total energy ... -10.710 eV per atom
Density ... 14.20 g/cm3
Space group ... C2/c
Magnetic moment ... 4.211 μB/f.u.

Lattice parameters (Å, degrees): 5.190 5.190 13.417 101.38 101.38 59.83
Site moments in Bohr magnetons follow the coordinates.
Fractional coordinates of all 24 atoms:
C1 0.000 0.500 0.000  -0.01
C2 0.344 0.813 0.000  -0.01
C3 0.187 0.656 0.500  -0.01
C4 0.500 0.000 0.500  -0.01
C5 0.813 0.344 0.500  -0.01
C6 0.656 0.187 0.000  -0.01
Fe1 0.414 0.087 0.249  1.59
Fe2 0.916 0.084 0.250  1.60
Fe3 0.913 0.586 0.251  1.63
Fe4 0.087 0.414 0.749  1.63
Fe5 0.084 0.916 0.750  1.60
Fe6 0.586 0.913 0.751  1.59
Ta1 0.375 0.542 0.122  -0.11
Ta2 0.458 0.625 0.378  -0.11
Ta3 0.542 0.375 0.622  -0.11
Ta4 0.625 0.458 0.878  -0.11
W1 0.695 0.859 0.089  -0.07
W2 0.022 0.202 0.089  -0.06
W3 0.798 0.978 0.411  -0.06
W4 0.141 0.305 0.411  -0.06
W5 0.859 0.695 0.589  -0.06
W6 0.202 0.022 0.589  -0.06
W7 0.978 0.798 0.911  -0.06
W8 0.305 0.141 0.911  -0.07



4.
First-principles (GGA-PBE) data for Ta4Fe3W2C3 after structural relaxation, as listed in OQMD via LeMat-Bulk.

Electronic total energy ... -10.519 eV per atom
Density ... 13.76 g/cm3
Space group ... C2/c
Magnetic moment ... 3.912 μB/f.u.

Lattice parameters (Å, degrees): 5.252 5.252 13.506 101.33 101.33 59.47
Site moments in Bohr magnetons follow the coordinates.
Fractional coordinates of all 24 atoms:
C1 0.500 0.000 0.000  0.01
C2 0.805 0.347 0.000  0.00
C3 0.653 0.195 0.500  0.00
C4 0.000 0.500 0.500  0.01
C5 0.347 0.805 0.500  0.00
C6 0.195 0.653 0.000  0.00
Fe1 0.586 0.915 0.250  1.50
Fe2 0.089 0.911 0.250  1.55
Fe3 0.085 0.414 0.250  1.58
Fe4 0.915 0.586 0.750  1.58
Fe5 0.911 0.089 0.750  1.55
Fe6 0.414 0.085 0.750  1.50
Ta1 0.199 0.025 0.092  -0.11
Ta2 0.864 0.694 0.092  -0.12
Ta3 0.306 0.136 0.408  -0.12
Ta4 0.975 0.801 0.408  -0.11
Ta5 0.025 0.199 0.592  -0.11
Ta6 0.694 0.864 0.592  -0.12
Ta7 0.136 0.306 0.908  -0.12
Ta8 0.801 0.975 0.908  -0.11
W1 0.539 0.366 0.118  -0.06
W2 0.634 0.461 0.382  -0.05
W3 0.366 0.539 0.618  -0.05
W4 0.461 0.634 0.882  -0.06



5.
First-principles (GGA-PBE) data for TbFe2C2 after structural relaxation, as listed in OQMD via LeMat-Bulk.

Electronic total energy ... -8.157 eV per atom
Density ... 8.60 g/cm3
Space group ... I4/mmm
Magnetic moment ... 0.004 μB/f.u.

Lattice parameters (Å, degrees): 5.362 5.362 5.362 142.44 142.44 54.16
Fractional coordinates of all 5 atoms:
C1 0.341 0.341 0.000
C2 0.659 0.659 0.000
Fe1 0.750 0.250 0.500
Fe2 0.250 0.750 0.500
Tb1 0.000 0.000 0.000



6.
First-principles (GGA-PBE) data for Tb2Fe14C after structural relaxation, as listed in OQMD via LeMat-Bulk.

Electronic total energy ... -7.996 eV per atom
Density ... 8.27 g/cm3
Space group ... P4_2/mnm
Magnetic moment ... 30.070 μB/f.u.

Lattice parameters (Å, degrees): 8.720 8.720 11.739 90.00 90.00 90.00
Fractional coordinates of all 68 atoms:
C1 0.627 0.373 0.000
C2 0.373 0.627 0.000
C3 0.127 0.127 0.500
C4 0.873 0.873 0.500
Fe1 0.500 0.000 0.000
Fe2 0.000 0.500 0.000
Fe3 0.500 0.500 0.108
Fe4 0.565 0.225 0.121
Fe5 0.775 0.435 0.121
Fe6 0.225 0.565 0.121
Fe7 0.435 0.775 0.121
Fe8 0.358 0.036 0.176
Fe9 0.036 0.358 0.176
Fe10 0.964 0.642 0.176
Fe11 0.642 0.964 0.176
Fe12 0.097 0.097 0.204
Fe13 0.903 0.903 0.204
Fe14 0.316 0.316 0.245
Fe15 0.684 0.684 0.245
Fe16 0.816 0.184 0.255
Fe17 0.184 0.816 0.255
Fe18 0.597 0.403 0.296
Fe19 0.403 0.597 0.296
Fe20 0.536 0.142 0.324
Fe21 0.858 0.464 0.324
Fe22 0.142 0.536 0.324
Fe23 0.464 0.858 0.324
Fe24 0.275 0.065 0.379
Fe25 0.065 0.275 0.379
Fe26 0.935 0.725 0.379
Fe27 0.725 0.935 0.379
Fe28 0.000 0.000 0.392
Fe29 0.500 0.000 0.500
Fe30 0.000 0.500 0.500
Fe31 0.000 0.000 0.608
Fe32 0.275 0.065 0.621
Fe33 0.065 0.275 0.621
Fe34 0.935 0.725 0.621
Fe35 0.725 0.935 0.621
Fe36 0.536 0.142 0.676
Fe37 0.858 0.464 0.676
Fe38 0.142 0.536 0.676
Fe39 0.464 0.858 0.676
Fe40 0.597 0.403 0.704
Fe41 0.403 0.597 0.704
Fe42 0.816 0.184 0.745
Fe43 0.184 0.816 0.745
Fe44 0.316 0.316 0.755
Fe45 0.684 0.684 0.755
Fe46 0.097 0.097 0.796
Fe47 0.903 0.903 0.796
Fe48 0.358 0.036 0.824
Fe49 0.036 0.358 0.824
Fe50 0.964 0.642 0.824
Fe51 0.642 0.964 0.824
Fe52 0.565 0.225 0.879
Fe53 0.775 0.435 0.879
Fe54 0.225 0.565 0.879
Fe55 0.435 0.775 0.879
Fe56 0.500 0.500 0.892
Tb1 0.856 0.144 0.000
Tb2 0.260 0.260 0.000
Tb3 0.740 0.740 0.000
Tb4 0.144 0.856 0.000
Tb5 0.760 0.240 0.500
Tb6 0.356 0.356 0.500
Tb7 0.644 0.644 0.500
Tb8 0.240 0.760 0.500



7.
First-principles (GGA-PBE) data for Tl2FeC4 after structural relaxation, as listed in OQMD via LeMat-Bulk.

Electronic total energy ... -6.173 eV per atom
Density ... 6.43 g/cm3
Space group ... Ibam
Magnetic moment ... 0.004 μB/f.u.

Lattice parameters (Å, degrees): 7.992 7.992 7.992 112.00 78.78 145.07
Fractional coordinates of all 14 atoms:
C1 0.923 0.118 0.041
C2 0.850 0.225 0.075
C3 0.577 0.618 0.195
C4 0.650 0.725 0.374
C5 0.350 0.275 0.626
C6 0.423 0.382 0.805
C7 0.150 0.775 0.925
C8 0.077 0.882 0.959
Fe1 0.250 0.250 0.000
Fe2 0.750 0.750 0.000
Tl1 0.349 0.852 0.201
Tl2 0.849 0.648 0.498
Tl3 0.151 0.352 0.502
Tl4 0.651 0.148 0.799



8.
First-principles (GGA-PBE) data for TlFeW4C2 after structural relaxation, as listed in OQMD via LeMat-Bulk.

Electronic total energy ... -9.790 eV per atom
Density ... 15.09 g/cm3
Space group ... P-6m2
Magnetic moment ... 1.786 μB/f.u.

Lattice parameters (Å, degrees): 3.077 3.077 13.690 90.00 90.00 120.00
Site moments in Bohr magnetons follow the coordinates.
Fractional coordinates of all 8 atoms:
C1 0.333 0.667 0.232  -0.01
C2 0.333 0.667 0.768  0.00
Fe1 0.000 0.000 0.000  1.97
Tl1 0.667 0.333 0.500  0.01
W1 0.667 0.333 0.145  -0.07
W2 0.000 0.000 0.316  -0.01
W3 0.000 0.000 0.684  0.00
W4 0.667 0.333 0.855  -0.07



9.
First-principles (GGA-PBE) data for Zr4TlFeC2 after structural relaxation, as listed in OQMD via LeMat-Bulk.

Electronic total energy ... -8.347 eV per atom
Density ... 7.82 g/cm3
Space group ... P-6m2
Magnetic moment ... 1.552 μB/f.u.

Lattice parameters (Å, degrees): 3.342 3.342 14.252 90.00 90.00 120.00
Site moments in Bohr magnetons follow the coordinates.
Fractional coordinates of all 8 atoms:
C1 0.667 0.333 0.265  0.01
C2 0.667 0.333 0.735  0.01
Fe1 0.000 0.000 0.500  2.01
Tl1 0.333 0.667 0.000  0.00
Zr1 0.000 0.000 0.181  0.04
Zr2 0.333 0.667 0.362  -0.20
Zr3 0.333 0.667 0.638  -0.20
Zr4 0.000 0.000 0.819  0.04



10.
First-principles (GGA-PBE) data for Tm2Fe14C after structural relaxation, as listed in OQMD via LeMat-Bulk.

Electronic total energy ... -7.998 eV per atom
Density ... 8.56 g/cm3
Space group ... P4_2/mnm
Magnetic moment ... 29.872 μB/f.u.

Lattice parameters (Å, degrees): 8.690 8.690 11.632 90.00 90.00 90.00
Site moments in Bohr magnetons follow the coordinates.
Fractional coordinates of all 68 atoms:
C1 0.872 0.128 0.000  -0.15
C2 0.128 0.872 0.000  -0.15
C3 0.372 0.372 0.500  -0.15
C4 0.628 0.628 0.500  -0.15
Fe1 0.500 0.000 0.000  2.19
Fe2 0.000 0.500 0.000  2.19
Fe3 0.000 0.000 0.108  1.91
Fe4 0.725 0.065 0.120  2.05
Fe5 0.935 0.275 0.120  2.06
Fe6 0.065 0.725 0.120  2.07
Fe7 0.275 0.935 0.120  2.05
Fe8 0.464 0.143 0.175  2.24
Fe9 0.143 0.464 0.175  2.24
Fe10 0.857 0.536 0.175  2.25
Fe11 0.536 0.857 0.175  2.25
Fe12 0.403 0.403 0.202  2.15
Fe13 0.597 0.597 0.202  2.16
Fe14 0.184 0.184 0.245  2.66
Fe15 0.816 0.816 0.245  2.66
Fe16 0.684 0.316 0.255  2.65
Fe17 0.316 0.684 0.255  2.65
Fe18 0.903 0.097 0.298  2.16
Fe19 0.097 0.903 0.298  2.16
Fe20 0.643 0.036 0.325  2.26
Fe21 0.964 0.357 0.325  2.25
Fe22 0.036 0.643 0.325  2.25
Fe23 0.357 0.964 0.325  2.26
Fe24 0.435 0.225 0.380  2.08
Fe25 0.225 0.435 0.380  2.06
Fe26 0.775 0.565 0.380  2.06
Fe27 0.565 0.775 0.380  2.08
Fe28 0.500 0.500 0.392  1.90
Fe29 0.500 0.000 0.500  2.19
Fe30 0.000 0.500 0.500  2.19
Fe31 0.500 0.500 0.608  1.90
Fe32 0.435 0.225 0.620  2.08
Fe33 0.225 0.435 0.620  2.06
Fe34 0.775 0.565 0.620  2.06
Fe35 0.565 0.775 0.620  2.08
Fe36 0.643 0.036 0.675  2.26
Fe37 0.964 0.357 0.675  2.25
Fe38 0.036 0.643 0.675  2.25
Fe39 0.357 0.964 0.675  2.26
Fe40 0.903 0.097 0.702  2.16
Fe41 0.097 0.903 0.702  2.16
Fe42 0.684 0.316 0.745  2.65
Fe43 0.316 0.684 0.745  2.65
Fe44 0.184 0.184 0.755  2.66
Fe45 0.816 0.816 0.755  2.66
Fe46 0.403 0.403 0.798  2.16
Fe47 0.597 0.597 0.798  2.15
Fe48 0.464 0.143 0.825  2.25
Fe49 0.143 0.464 0.825  2.25
Fe50 0.857 0.536 0.825  2.24
Fe51 0.536 0.857 0.825  2.24
Fe52 0.725 0.065 0.880  2.05
Fe53 0.935 0.275 0.880  2.07
Fe54 0.065 0.725 0.880  2.06
Fe55 0.275 0.935 0.880  2.05
Fe56 0.000 0.000 0.892  1.91
Tm1 0.241 0.241 0.000  -0.48
Tm2 0.643 0.357 0.000  -0.47
Tm3 0.357 0.643 0.000  -0.47
Tm4 0.759 0.759 0.000  -0.48
Tm5 0.143 0.143 0.500  -0.47
Tm6 0.741 0.259 0.500  -0.49
Tm7 0.259 0.741 0.500  -0.49
Tm8 0.857 0.857 0.500  -0.47



11.
First-principles (GGA-PBE) data for Tm2Fe5C4 after structural relaxation, as listed in OQMD via LeMat-Bulk.

Electronic total energy ... -8.153 eV per atom
Density ... 9.54 g/cm3
Space group ... Fmmm
Magnetic moment ... 0.009 μB/f.u.

Lattice parameters (Å, degrees): 6.868 5.691 5.196 78.08 54.17 47.75
Fractional coordinates of all 11 atoms:
C1 0.472 0.791 0.209
C2 0.209 0.528 0.472
C3 0.791 0.472 0.528
C4 0.528 0.209 0.791
Fe1 0.500 0.500 0.000
Fe2 0.250 0.250 0.250
Fe3 0.000 0.000 0.500
Fe4 0.500 0.500 0.500
Fe5 0.750 0.750 0.750
Tm1 0.854 0.854 0.146
Tm2 0.146 0.146 0.854



12.
First-principles (GGA-PBE) data for Tm2Fe17C3 after structural relaxation, as listed in OQMD via LeMat-Bulk.

Electronic total energy ... -8.175 eV per atom
Density ... 8.31 g/cm3
Space group ... R-3m
Magnetic moment ... 34.175 μB/f.u.

Lattice parameters (Å, degrees): 6.462 6.462 6.462 96.97 83.03 96.97
Site moments in Bohr magnetons follow the coordinates.
Fractional coordinates of all 22 atoms:
C1 0.500 0.500 0.000  -0.13
C2 0.000 0.500 0.500  -0.12
C3 0.500 0.000 0.500  -0.13
Fe1 0.500 0.000 0.000  2.41
Fe2 0.284 0.284 0.000  1.69
Fe3 0.000 0.500 0.000  2.40
Fe4 0.716 0.716 0.000  1.69
Fe5 0.096 0.904 0.096  2.56
Fe6 0.656 0.344 0.146  2.15
Fe7 0.716 0.000 0.284  1.71
Fe8 0.000 0.284 0.284  1.69
Fe9 0.344 0.146 0.344  2.10
Fe10 0.854 0.656 0.344  2.12
Fe11 0.000 0.000 0.500  2.45
Fe12 0.656 0.854 0.656  2.10
Fe13 0.146 0.344 0.656  2.12
Fe14 0.284 0.000 0.716  1.71
Fe15 0.000 0.716 0.716  1.69
Fe16 0.344 0.656 0.854  2.15
Fe17 0.904 0.096 0.904  2.56
Tm1 0.342 0.658 0.342  -0.33
Tm2 0.658 0.342 0.658  -0.33